Entry 1:
The following is a DFT calculation (PBE) of a relaxed YS3F crystal.

For the energy relative to the elements, uncorrected, the calculation gives -1.0 eV per formula unit. The polymorph energy (0 for the lowest one) comes out at 0.225 eV per atom. The value obtained for the density of states at the Fermi level is 1.300 states/eV/atom. The theoretical density comes out at 2.22 g cm⁻³.

The structure belongs to space group Pm-3m (No. 221); the cell edges are 5.343, 5.343 and 5.343 Å and the angles 90.00°, 90.00° and 90.00°. Symmetry generates all atoms from Y at (0.000, 0.000, 0.000), S at (0.000, 0.000, 0.500) and F at (0.500, 0.500, 0.500).

***

Entry 2:
The following is a DFT calculation (PBE) of a relaxed La2SiRu crystal.

For the energy relative to the elements, uncorrected, the calculation gives -1.9 eV per formula unit. The value obtained for the density of states at the Fermi level is 0.805 states/eV/atom. The theoretical density comes out at 6.79 g cm⁻³.

The structure belongs to space group Imm2 (No. 44); the cell edges are 3.695, 4.474 and 12.036 Å and the angles 90.00°, 90.00° and 90.00°. Symmetry generates all atoms from La at (0.000, 0.000, 0.000), La at (0.000, 0.500, 0.231), Si at (0.000, 0.000, 0.409) and Ru at (0.000, 0.500, 0.778).

***

Entry 3:
The following is a DFT calculation (PBE) of a relaxed Zn5Cu4Pt crystal.

The polymorph energy (0 for the lowest one) comes out at 0.224 eV per atom. The value obtained for the density of states at the Fermi level is 0.212 states/eV/atom. The theoretical density comes out at 8.66 g cm⁻³. The energy of formation from the pure elements is 47 meV per atom.

The structure belongs to space group I4 (No. 79); the cell edges are 7.592, 7.592 and 5.165 Å and the angles 90.00°, 90.00° and 90.00°. Symmetry generates all atoms from Zn at (0.000, 0.000, 0.000), Zn at (0.066, 0.328, 0.728), Cu at (0.119, 0.252, 0.243) and Pt at (0.000, 0.000, 0.530).

***

Entry 4:
The following is a DFT calculation (PBE) of a relaxed Cs2SrTl2 crystal.

The polymorph energy (0 for the lowest one) comes out at 0.070 eV per atom. The value obtained for the density of states at the Fermi level is 1.234 states/eV/atom. The theoretical density comes out at 5.16 g cm⁻³. The energy of formation from the pure elements is 66 meV per atom.

The structure belongs to space group I4/mmm (No. 139); the cell edges are 5.282, 5.282 and 17.582 Å and the angles 90.00°, 90.00° and 90.00°. Symmetry generates all atoms from Cs at (0.000, 0.500, 0.250), Sr at (0.000, 0.000, 0.000) and Tl at (0.000, 0.000, 0.414).

***

Entry 5:
The following is a DFT calculation (PBE) of a relaxed ZnBi2Au2 crystal.

The polymorph energy (0 for the lowest one) comes out at 0.000 eV per atom. The value obtained for the density of states at the Fermi level is 0.395 states/eV/atom. The theoretical density comes out at 12.39 g cm⁻³. The energy of formation from the pure elements is 17 meV per atom.

The structure belongs to space group P4/mbm (No. 127); the cell edges are 7.067, 7.067 and 4.708 Å and the angles 90.00°, 90.00° and 90.00°. Symmetry generates all atoms from Zn at (0.000, 0.000, 0.000), Bi at (0.171, 0.329, 0.500) and Au at (0.145, 0.645, 0.000).

***

Entry 6:
The following is a DFT calculation (PBE) of a relaxed MnCrCuAu crystal.

The polymorph energy (0 for the lowest one) comes out at 0.206 eV per atom. The value obtained for the density of states at the Fermi level is 1.059 states/eV/atom. The theoretical density comes out at 10.88 g cm⁻³. The energy of formation from the pure elements is 246 meV per atom.

The structure belongs to space group Cm (No. 8); the cell edges are 4.533, 2.959 and 8.376 Å and the angles 90.00°, 93.67° and 90.00°. Symmetry generates all atoms from Mn at (0.000, 0.000, 0.000), Cr at (0.465, 0.000, 0.791), Cu at (0.065, 0.000, 0.547) and Au at (0.174, 0.500, 0.276).

***

Entry 7:
The following is a DFT calculation (PBE) of a relaxed TbTm2Cl crystal.

For the energy relative to the elements, uncorrected, the calculation gives -1.3 eV per formula unit. The value obtained for the density of states at the Fermi level is 1.576 states/eV/atom. The theoretical density comes out at 7.92 g cm⁻³.

The structure belongs to space group R-3m (No. 166, hexagonal axes); the cell edges are 3.4022, 3.4022 and 33.4031 Å and the angles 90.00°, 90.00° and 120.00°. Symmetry generates all atoms from Tb at (0.0000, 0.0000, 0.0000), Tm at (0.0000, 0.0000, 0.1006) and Cl at (0.0000, 0.0000, 0.5000).

***

Entry 8:
The following is a DFT calculation (PBE) of a relaxed Li5Mg3Pb2 crystal.

The value obtained for the density of states at the Fermi level is 0.397 states/eV/atom. The theoretical density comes out at 3.82 g cm⁻³. The energy of formation from the pure elements is -28 meV per atom.

The structure belongs to space group Ibam (No. 72); the cell edges are 9.997, 16.052 and 5.661 Å and the angles 90.00°, 90.00° and 90.00°. Symmetry generates all atoms from Li at (0.000, 0.000, 0.250), Li at (0.000, 0.322, 0.250), Li at (0.061, 0.175, 0.000), Mg at (0.000, 0.500, 0.250), Mg at (0.226, 0.191, 0.500) and Pb at (0.237, 0.430, 0.500).

***

- Look up the theoretical density of the second one.
  6.79 g cm⁻³